Here is Co3P2O8 after structural relaxation from the Alexandria database. Energies are from PBE with a Hubbard U.

For the energy above the most stable polymorph in this dataset, the calculation gives 19 meV per atom. Its spin magnetization is 18.08 μB per cell. The crystal system is monoclinic.

The structure belongs to space group P2_1/c (No. 14); the cell edges are 6.007, 4.801 and 10.379 Å and the angles 90.00°, 90.60° and 90.00°. Symmetry generates all atoms from Co at (0.000, 0.000, 0.000), Co at (0.263, 0.015, 0.724), P at (0.242, 0.572, 0.902), O at (0.031, 0.725, 0.840), O at (0.224, 0.249, 0.396), O at (0.248, 0.685, 0.042) and O at (0.436, 0.684, 0.819).